[1]
The following is a DFT calculation (PBE-GGA) of a geometry-optimized CsInOs3 structure.

```
5
Lattice="5.027 0.000 0.000 0.000 5.027 0.000 0.000 0.000 5.027" Properties=species:S:1:pos:R:3 pbc="T T T"
Cs 0.000 0.000 0.000
In 2.513 2.513 2.513
Os 0.000 0.000 2.513
Os 0.000 2.513 0.000
Os 2.513 0.000 0.000
```

Calculated values
For the formation enthalpy at 0 K, the calculation gives 3.73 eV/atom. The calculation puts the total moment at 4.9 Bohr magnetons per cell. The calculation puts the raw total energy at -3.72 eV/atom. For the relative energy among the computed polymorphs, the calculation gives 973 meV per atom. As for the theoretical density: 10.7 g/cm³.

---

[2]
The following is a DFT calculation (PBE-GGA) of a geometry-optimized Sc2GaTe2 structure.

```
10
Lattice="7.803 0.000 0.000 0.000 7.803 0.000 0.000 0.000 3.924" Properties=species:S:1:pos:R:3 pbc="T T T"
Sc 1.182 2.720 0.000
Sc 2.720 6.621 0.000
Sc 5.084 1.182 0.000
Sc 6.621 5.084 0.000
Ga 0.000 0.000 0.000
Ga 3.902 3.902 0.000
Te 1.187 5.089 1.962
Te 2.714 1.187 1.962
Te 5.089 6.616 1.962
Te 6.616 2.714 1.962
```

Calculated values
The calculation puts the total moment at 0.0 Bohr magnetons per cell. The formation energy from raw total energies is -3.8 eV/f.u. The calculation puts the raw total energy at -5.15 eV/atom. For the relative energy among the computed polymorphs, the calculation gives 0 meV per atom. As for the theoretical density: 5.8 g/cm³.

---

[3]
The following is a DFT calculation (PBE-GGA) of a geometry-optimized Tl3Sn3Au structure.

```
14
Lattice="3.461 -5.276 0.000 3.461 5.276 0.000 -0.901 0.000 11.064" Properties=species:S:1:pos:R:3 pbc="T T T"
Tl 3.461 3.596 0.000
Tl 3.010 2.088 5.532
Tl 3.030 0.000 1.565
Tl 2.991 0.000 9.498
Tl 3.010 -2.088 5.532
Tl 3.461 -3.596 0.000
Sn 1.021 2.449 8.361
Sn 0.733 0.000 3.998
Sn 1.021 -2.449 8.361
Sn 5.000 2.449 2.702
Sn 5.288 0.000 7.065
Sn 5.000 -2.449 2.702
Au 1.140 0.000 6.866
Au 4.880 0.000 4.198
```

Calculated values
For the formation enthalpy at 0 K, the calculation gives 0.00 eV/atom. The calculation puts the total moment at 0.0 Bohr magnetons per cell. The calculation puts the raw total energy at -3.20 eV/atom. As for the theoretical density: 9.6 g/cm³.

---

[4]
The following is a DFT calculation (PBE-GGA) of a geometry-optimized Tl2ReSi structure.

```
4
Lattice="3.214 0.000 0.000 0.000 3.214 0.000 0.000 0.000 8.784" Properties=species:S:1:pos:R:3 pbc="T T T"
Tl 0.000 0.000 0.000
Tl 1.607 1.607 3.207
Re 0.000 0.000 5.482
Si 1.607 1.607 6.374
```

Calculated values
The calculation puts the total moment at 0.0 Bohr magnetons per cell. The formation energy from raw total energies is 1.4 eV/f.u. The calculation puts the raw total energy at -5.30 eV/atom. For the relative energy among the computed polymorphs, the calculation gives 1 meV per atom. As for the theoretical density: 11.4 g/cm³.

---

[5]
The following is a DFT calculation (PBE-GGA) of a geometry-optimized Ba2PbAuO6 structure.

```
20
Lattice="3.010 1.738 10.849 -3.010 1.738 10.849 0.000 -3.475 10.849" Properties=species:S:1:pos:R:3 pbc="T T T"
Ba 0.000 0.000 4.311
Ba 0.000 0.000 9.767
Ba 0.000 0.000 22.780
Ba 0.000 0.000 28.236
Pb 0.000 0.000 13.343
Pb 0.000 0.000 19.203
Au 0.000 0.000 0.000
Au 0.000 0.000 16.273
O -1.406 -0.812 15.027
O 0.000 -1.748 12.059
O -1.514 0.874 12.059
O -1.514 -0.874 20.487
O 0.000 -1.623 17.519
O -1.406 0.812 17.519
O 1.406 -0.812 15.027
O 0.000 1.623 15.027
O 1.514 0.874 12.059
O 1.514 -0.874 20.487
O 0.000 1.748 20.487
O 1.406 0.812 17.519
```

Calculated values
The calculation puts the total moment at 0.0 Bohr magnetons per cell. The formation energy from raw total energies is -13.3 eV/f.u. The calculation puts the raw total energy at -5.39 eV/atom. As for the theoretical density: 7.6 g/cm³.

---

[6]
The following is a DFT calculation (PBE-GGA) of a geometry-optimized ErSCl structure.

```
12
Lattice="7.569 0.000 0.000 0.000 6.242 0.000 -3.211 0.000 6.869" Properties=species:S:1:pos:R:3 pbc="T T T"
Er 0.874 0.021 1.707
Er -0.731 3.100 5.142
Er 5.089 3.142 1.727
Er 3.484 6.222 5.162
S -2.253 1.376 6.364
S -0.648 1.745 2.929
S 5.006 4.497 3.940
S 6.612 4.867 0.505
Cl 2.839 4.436 0.687
Cl 1.234 4.928 4.121
Cl 3.125 1.314 2.748
Cl 1.519 1.807 6.182
```

Calculated values
The calculation puts the total moment at 0.0 Bohr magnetons per cell. The formation energy from raw total energies is -6.2 eV/f.u. The calculation puts the raw total energy at -5.59 eV/atom. For the relative energy among the computed polymorphs, the calculation gives 115 meV per atom. As for the theoretical density: 4.8 g/cm³.